Entry 1:
! YHoMgAu GGA-PBE relaxed; values from VASP
! - density (kg/m³) = 7989
! - ΔE_f (eV per formula unit) = -1.68
! - space group = No. 216
! - total magnetization (μB per formula unit) = 0.000
! - total DFT energy (no corrections) (eV/atom) = -4.40
&SYSTEM
  ibrav = 0, nat = 4, ntyp = 4
/
ATOMIC_SPECIES
Y 88.91 Y.upf
Ho 164.93 Ho.upf
Mg 24.30 Mg.upf
Au 196.97 Au.upf
CELL_PARAMETERS angstrom
0.000 3.669 3.669
3.669 0.000 3.669
3.669 3.669 0.000
ATOMIC_POSITIONS angstrom
Y 0.000 0.000 0.000
Ho 3.669 3.669 3.669
Mg 1.834 1.834 1.834
Au 5.503 5.503 5.503

Entry 2:
! DyMgAg GGA-PBE relaxed; values from VASP
! - density (kg/m³) = 6948
! - ΔE_f (eV per formula unit) = -0.53
! - space group = No. 107
! - total magnetization (μB per formula unit) = 0.000
! - total DFT energy (no corrections) (eV/atom) = -3.19
&SYSTEM
  ibrav = 0, nat = 3, ntyp = 3
/
ATOMIC_SPECIES
Dy 162.50 Dy.upf
Mg 24.30 Mg.upf
Ag 107.87 Ag.upf
CELL_PARAMETERS angstrom
-1.736 1.736 5.841
1.736 -1.736 5.841
1.736 1.736 -5.841
ATOMIC_POSITIONS angstrom
Dy 0.000 0.000 0.000
Mg 0.000 0.000 8.198
Ag 0.000 0.000 3.883

Entry 3:
! MgTiZn2 GGA-PBE relaxed; values from VASP
! - density (kg/m³) = 4924
! - ΔE_f (eV per formula unit) = 0.04
! - space group = No. 166
! - total magnetization (μB per formula unit) = 0.000
! - total DFT energy (no corrections) (eV/atom) = -3.00
&SYSTEM
  ibrav = 0, nat = 4, ntyp = 3
/
ATOMIC_SPECIES
Mg 24.30 Mg.upf
Ti 47.87 Ti.upf
Zn 65.41 Zn.upf
CELL_PARAMETERS angstrom
1.449 0.837 9.409
-1.449 0.837 9.409
0.000 -1.673 9.409
ATOMIC_POSITIONS angstrom
Mg 0.000 0.000 0.000
Ti 0.000 0.000 14.114
Zn 0.000 0.000 6.989
Zn 0.000 0.000 21.238